No. 1
Na2PuBr4: optimized geometry, PBE.

abc: 8.906 8.906 12.167
angles: 90.00 90.00 90.00
Last column: magnetic moment on the atom in μB.
Element x y z (fractional)
Na 0.500 0.743 0.500  0.00
Na 0.258 0.742 0.125  0.00
Na 0.743 0.500 0.250  0.00
Na 0.500 0.257 0.000  0.00
Na 0.258 0.258 0.375  0.00
Na 0.742 0.742 0.875  0.00
Na 0.742 0.258 0.625  0.00
Na 0.257 0.500 0.750  0.00
Pu 0.000 0.246 0.000  5.78
Pu 0.000 0.754 0.500  5.78
Pu 0.754 0.000 0.250  5.78
Pu 0.246 0.000 0.750  5.78
Br 0.475 0.754 0.746  -0.01
Br 0.752 0.015 0.003  -0.02
Br 0.248 0.985 0.503  -0.02
Br 0.985 0.248 0.247  -0.02
Br 0.248 0.015 0.997  -0.02
Br 0.525 0.246 0.246  -0.01
Br 0.752 0.985 0.497  -0.02
Br 0.015 0.752 0.747  -0.02
Br 0.246 0.525 0.504  -0.01
Br 0.246 0.475 0.996  -0.01
Br 0.754 0.525 0.496  -0.01
Br 0.985 0.752 0.253  -0.02
Br 0.475 0.246 0.754  -0.01
Br 0.754 0.475 0.004  -0.01
Br 0.015 0.248 0.753  -0.02
Br 0.525 0.754 0.254  -0.01

SG: P4_122
Crystal system: tetragonal
ΔE to the lowest computed polymorph in eV per atom: 0.000
Raw formation energy in eV/atom: -1.465



No. 2
Na2PuBr5: optimized geometry, PBE.

abc: 5.764 7.792 14.531
angles: 90.00 90.00 111.71
Last column: magnetic moment on the atom in μB.
Element x y z (fractional)
Br 0.269 0.539 0.750  -0.03
Br 0.311 0.622 0.410  -0.03
Br 0.046 0.093 0.381  -0.03
Br 0.689 0.378 0.910  -0.03
Br 0.731 0.461 0.250  -0.03
Br 0.954 0.907 0.881  -0.03
Br 0.311 0.622 0.090  -0.03
Br 0.954 0.907 0.619  -0.03
Br 0.046 0.093 0.119  -0.03
Br 0.689 0.378 0.590  -0.03
Pu 0.189 0.377 0.250  5.08
Pu 0.811 0.623 0.750  5.08
Na 0.150 0.300 0.555  0.00
Na 0.850 0.700 0.055  0.00
Na 0.150 0.300 0.945  0.00
Na 0.850 0.700 0.445  0.00

SG: Cmcm
Crystal system: orthorhombic
Raw formation energy in eV/atom: -1.510



No. 3
NaPu2Br6: optimized geometry, PBE.

abc: 7.505 7.505 8.090
angles: 62.37 62.37 60.00
Last column: magnetic moment on the atom in μB.
Element x y z (fractional)
Pu 0.287 0.287 0.138  5.47
Pu 0.475 0.475 0.574  5.44
Na 0.788 0.788 0.637  0.00
Br 0.882 0.556 0.361  -0.03
Br 0.201 0.882 0.361  -0.03
Br 0.393 0.674 0.855  -0.04
Br 0.556 0.201 0.361  -0.03
Br 0.674 0.079 0.855  -0.04
Br 0.079 0.393 0.855  -0.04

SG: R3
Crystal system: trigonal
ΔE to the lowest computed polymorph in eV per atom: 0.004
Raw formation energy in eV/atom: -1.529



No. 4
NaPu2Br6: optimized geometry, PBE.

abc: 6.987 6.987 13.335
angles: 90.00 90.00 90.00
Last column: magnetic moment on the atom in μB.
Element x y z (fractional)
Br 0.299 0.299 0.670  -0.03
Br 0.695 0.695 0.000  -0.03
Br 0.799 0.201 0.830  -0.03
Br 0.701 0.701 0.670  -0.03
Br 0.195 0.805 0.500  -0.03
Br 0.201 0.799 0.170  -0.03
Br 0.701 0.701 0.330  -0.03
Br 0.299 0.299 0.330  -0.03
Br 0.805 0.195 0.500  -0.03
Br 0.305 0.305 0.000  -0.03
Br 0.799 0.201 0.170  -0.03
Br 0.201 0.799 0.830  -0.03
Pu 0.500 0.500 0.833  5.46
Pu 0.000 0.000 0.667  5.46
Pu 0.000 0.000 0.333  5.46
Pu 0.500 0.500 0.167  5.46
Na 0.500 0.500 0.500  0.00
Na 0.000 0.000 0.000  0.00

SG: P4_2/mnm
Crystal system: tetragonal
ΔE to the lowest computed polymorph in eV per atom: 0.000
Raw formation energy in eV/atom: -1.533



No. 5
Na5Pu3Br12: optimized geometry, PBE.

abc: 14.967 14.967 14.967
angles: 109.47 109.47 109.47
Last column: magnetic moment on the atom in μB.
Element x y z (fractional)
Na 0.250 0.375 0.625  0.00
Na 0.875 0.625 0.750  0.00
Na 0.500 0.000 0.500  0.00
Na 0.000 0.500 0.000  0.00
Na 0.750 0.125 0.875  0.00
Na 0.375 0.125 0.750  0.00
Na 0.750 0.625 0.375  0.00
Na 0.500 0.500 0.500  0.00
Na 0.000 0.500 0.500  0.00
Na 0.625 0.750 0.875  0.00
Na 0.250 0.875 0.125  0.00
Na 0.500 0.500 0.000  0.00
Na 0.125 0.375 0.250  0.00
Na 0.375 0.250 0.125  0.00
Na 0.875 0.250 0.625  0.00
Na 0.000 0.000 0.000  0.00
Na 0.125 0.750 0.375  0.00
Na 0.000 0.000 0.500  0.00
Na 0.625 0.875 0.250  0.00
Na 0.500 0.000 0.000  0.00
Br 0.417 0.368 0.592  -0.02
Br 0.325 0.776 0.408  -0.02
Br 0.175 0.083 0.951  -0.02
Br 0.092 0.917 0.368  -0.02
Br 0.632 0.583 0.908  -0.02
Br 0.224 0.549 0.632  -0.02
Br 0.917 0.825 0.549  -0.02
Br 0.325 0.549 0.417  -0.02
Br 0.592 0.724 0.675  -0.02
Br 0.049 0.417 0.825  -0.02
Br 0.132 0.408 0.083  -0.02
Br 0.908 0.825 0.776  -0.02
Br 0.276 0.868 0.951  -0.02
Br 0.549 0.325 0.917  -0.02
Br 0.724 0.132 0.049  -0.02
Br 0.224 0.675 0.092  -0.02
Br 0.368 0.951 0.776  -0.02
Br 0.583 0.951 0.675  -0.02
Br 0.132 0.724 0.549  -0.02
Br 0.724 0.592 0.175  -0.02
Br 0.917 0.092 0.868  -0.02
Br 0.083 0.908 0.132  -0.02
Br 0.592 0.868 0.417  -0.02
Br 0.908 0.083 0.632  -0.02
Br 0.049 0.632 0.724  -0.02
Br 0.868 0.276 0.451  -0.02
Br 0.675 0.451 0.583  -0.02
Br 0.092 0.175 0.224  -0.02
Br 0.175 0.092 0.724  -0.02
Br 0.951 0.368 0.276  -0.02
Br 0.951 0.583 0.175  -0.02
Br 0.451 0.675 0.083  -0.02
Br 0.825 0.908 0.276  -0.02
Br 0.675 0.224 0.592  -0.02
Br 0.868 0.592 0.917  -0.02
Br 0.583 0.632 0.408  -0.02
Br 0.776 0.325 0.908  -0.02
Br 0.408 0.132 0.583  -0.02
Br 0.632 0.049 0.224  -0.02
Br 0.776 0.451 0.368  -0.02
Br 0.451 0.776 0.868  -0.02
Br 0.825 0.917 0.049  -0.02
Br 0.549 0.224 0.132  -0.02
Br 0.408 0.276 0.325  -0.02
Br 0.417 0.049 0.325  -0.02
Br 0.083 0.175 0.451  -0.02
Br 0.276 0.408 0.825  -0.02
Br 0.368 0.417 0.092  -0.02
Pu 0.375 0.625 0.250  5.62
Pu 0.750 0.375 0.125  5.62
Pu 0.250 0.625 0.875  5.62
Pu 0.875 0.750 0.125  5.62
Pu 0.875 0.125 0.250  5.62
Pu 0.250 0.125 0.375  5.62
Pu 0.750 0.875 0.625  5.62
Pu 0.125 0.250 0.875  5.62
Pu 0.625 0.250 0.375  5.62
Pu 0.625 0.375 0.750  5.62
Pu 0.125 0.875 0.750  5.62
Pu 0.375 0.750 0.625  5.62

SG: Ia-3d
Crystal system: cubic
Raw formation energy in eV/atom: -1.451



No. 6
Na3PuBr6: optimized geometry, PBE.

abc: 7.456 7.456 8.071
angles: 62.49 62.49 60.00
Last column: magnetic moment on the atom in μB.
Element x y z (fractional)
Br 0.948 0.577 0.248  -0.02
Br 0.227 0.948 0.248  -0.02
Br 0.577 0.227 0.248  -0.02
Br 0.452 0.752 0.745  -0.02
Br 0.052 0.452 0.745  -0.02
Br 0.752 0.052 0.745  -0.02
Na 0.154 0.154 0.539  0.00
Na 0.350 0.350 0.951  0.00
Na 0.647 0.647 0.058  0.00
Pu 0.842 0.842 0.475  5.06

SG: R3
Crystal system: trigonal
ΔE to the lowest computed polymorph in eV per atom: 0.000
Raw formation energy in eV/atom: -1.536



No. 7
Na2Pu2Br7: optimized geometry, PBE.

abc: 7.485 7.194 7.194
angles: 97.35 90.09 89.91
Last column: magnetic moment on the atom in μB.
Element x y z (fractional)
Br 0.252 0.000 0.500  -0.03
Br 0.238 0.500 0.500  -0.03
Br 0.762 0.500 0.500  -0.03
Br 0.748 0.000 0.500  -0.03
Br 0.748 0.500 0.000  -0.03
Br 0.000 0.000 0.000  -0.03
Br 0.252 0.500 0.000  -0.03
Na 0.500 0.726 0.726  0.00
Na 0.500 0.274 0.274  0.00
Pu 0.000 0.275 0.725  5.46
Pu 0.000 0.725 0.275  5.46

SG: C2/m
Crystal system: monoclinic
ΔE to the lowest computed polymorph in eV per atom: 0.000
Raw formation energy in eV/atom: -1.492



No. 8
Na2PuBr4: optimized geometry, PBE.

abc: 5.844 5.844 8.762
angles: 70.52 70.52 90.00
Last column: magnetic moment on the atom in μB.
Element x y z (fractional)
Pu 0.000 0.000 0.000  5.67
Br 0.812 0.812 0.376  -0.01
Br 0.000 0.500 0.000  -0.02
Br 0.188 0.188 0.624  -0.01
Br 0.500 0.000 0.000  -0.02
Na 0.367 0.367 0.266  0.00
Na 0.633 0.633 0.734  0.00

SG: I4/mmm
Crystal system: tetragonal
ΔE to the lowest computed polymorph in eV per atom: 0.149
Raw formation energy in eV/atom: -1.316



No. 9
Na2PuBr8: optimized geometry, PBE.

abc: 5.962 8.619 8.619
angles: 87.01 79.22 79.22
Last column: magnetic moment on the atom in μB.
Element x y z (fractional)
Br 0.802 0.067 0.741  -0.13
Br 0.745 0.502 0.502  -0.03
Br 0.658 0.193 0.193  -0.12
Br 0.198 0.933 0.259  -0.13
Br 0.342 0.807 0.807  -0.12
Br 0.255 0.498 0.498  -0.03
Br 0.198 0.259 0.933  -0.13
Br 0.802 0.741 0.067  -0.13
Na 0.106 0.291 0.291  0.00
Na 0.894 0.709 0.709  0.00
Pu 0.000 0.000 0.000  4.12

SG: C2/m
Crystal system: monoclinic
Raw formation energy in eV/atom: -1.079



No. 10
Na3PuBr6: optimized geometry, PBE.

abc: 8.810 8.810 8.810
angles: 91.07 91.07 91.07
Last column: magnetic moment on the atom in μB.
Element x y z (fractional)
Br 0.917 0.084 0.306  -0.02
Br 0.543 0.409 0.189  0.02
Br 0.083 0.916 0.694  -0.02
Br 0.694 0.083 0.916  -0.02
Br 0.457 0.591 0.811  0.02
Br 0.306 0.917 0.084  -0.02
Br 0.084 0.306 0.917  -0.02
Br 0.591 0.811 0.457  0.02
Br 0.916 0.694 0.083  -0.02
Br 0.409 0.189 0.543  0.02
Br 0.811 0.457 0.591  0.02
Br 0.189 0.543 0.409  0.02
Pu 0.500 0.500 0.500  -5.05
Pu 0.000 0.000 0.000  5.08
Na 0.922 0.755 0.432  0.00
Na 0.078 0.245 0.568  0.00
Na 0.755 0.432 0.922  0.00
Na 0.245 0.568 0.078  0.00
Na 0.568 0.078 0.245  0.00
Na 0.432 0.922 0.755  0.00

SG: R-3
Crystal system: trigonal
ΔE to the lowest computed polymorph in eV per atom: 0.005
Raw formation energy in eV/atom: -1.531



No. 11
NaPuBr5: optimized geometry, PBE.

abc: 7.519 7.519 10.973
angles: 69.13 69.13 69.24
Last column: magnetic moment on the atom in μB.
Element x y z (fractional)
Na 0.478 0.522 0.750  0.00
Na 0.522 0.478 0.250  0.00
Br 0.631 0.227 0.978  -0.09
Br 0.369 0.773 0.022  -0.09
Br 0.678 0.859 0.636  -0.11
Br 0.896 0.104 0.250  -0.07
Br 0.859 0.678 0.136  -0.11
Br 0.773 0.369 0.522  -0.09
Br 0.227 0.631 0.478  -0.09
Br 0.104 0.896 0.750  -0.07
Br 0.141 0.322 0.864  -0.11
Br 0.322 0.141 0.364  -0.11
Pu 0.000 0.000 0.000  4.54
Pu 0.000 0.000 0.500  4.54

SG: C2/c
Crystal system: monoclinic
ΔE to the lowest computed polymorph in eV per atom: 0.006
Raw formation energy in eV/atom: -1.318



No. 12
Na6PuBr8: optimized geometry, PBE.

abc: 8.602 8.602 8.602
angles: 60.00 60.00 60.00
Last column: magnetic moment on the atom in μB.
Element x y z (fractional)
Na 0.500 0.500 0.000  0.00
Na 0.000 0.500 0.500  0.00
Na 0.000 0.500 0.000  0.00
Na 0.500 0.000 0.500  0.00
Na 0.000 0.000 0.500  0.00
Na 0.500 0.000 0.000  0.00
Br 0.247 0.753 0.753  0.01
Br 0.753 0.247 0.247  0.01
Br 0.750 0.750 0.750  0.00
Br 0.250 0.250 0.250  0.00
Br 0.247 0.753 0.247  0.01
Br 0.247 0.247 0.753  0.01
Br 0.753 0.247 0.753  0.01
Br 0.753 0.753 0.247  0.01
Pu 0.000 0.000 0.000  -5.79

SG: Fm-3m
Crystal system: cubic
Raw formation energy in eV/atom: -1.508



No. 13
NaPuBr6: optimized geometry, PBE.

abc: 7.169 7.169 7.696
angles: 62.23 62.21 59.98
Last column: magnetic moment on the atom in μB.
Element x y z (fractional)
Br 0.779 0.067 0.760  -0.14
Br 0.933 0.606 0.240  -0.14
Br 0.605 0.221 0.240  -0.14
Br 0.067 0.394 0.760  -0.14
Br 0.221 0.933 0.240  -0.14
Br 0.395 0.779 0.760  -0.14
Na 0.500 0.500 0.500  0.00
Pu 0.000 0.000 0.000  4.03

SG: R-3
Crystal system: trigonal
Raw formation energy in eV/atom: -1.159



No. 14
Na3PuBr7: optimized geometry, PBE.

abc: 7.870 7.870 7.400
angles: 75.31 75.31 78.02
Last column: magnetic moment on the atom in μB.
Element x y z (fractional)
Br 0.941 0.335 0.767  0.07
Br 0.335 0.941 0.767  0.07
Br 0.512 0.512 0.515  0.01
Br 0.666 0.062 0.219  0.09
Br 0.137 0.137 0.233  0.06
Br 0.062 0.666 0.219  0.09
Br 0.864 0.864 0.751  0.05
Na 0.221 0.781 0.486  0.00
Na 0.608 0.608 0.808  0.00
Na 0.781 0.221 0.486  0.00
Pu 0.999 0.999 0.999  -4.51

SG: Cm
Crystal system: monoclinic
Raw formation energy in eV/atom: -1.399



No. 15
Na2PuBr4: optimized geometry, PBE.

abc: 4.292 7.515 8.440
angles: 119.51 104.73 90.00
Last column: magnetic moment on the atom in μB.
Element x y z (fractional)
Br 0.365 0.719 0.730  -0.02
Br 0.635 0.281 0.270  -0.02
Br 0.122 0.812 0.244  -0.01
Br 0.878 0.188 0.756  -0.01
Na 0.280 0.257 0.559  0.00
Na 0.720 0.743 0.441  0.00
Pu 0.000 0.000 0.000  5.77

SG: C2/m
Crystal system: monoclinic
ΔE to the lowest computed polymorph in eV per atom: 0.013
Raw formation energy in eV/atom: -1.452



No. 16
NaPuBr5: optimized geometry, PBE.

abc: 7.472 7.472 11.186
angles: 106.79 110.89 91.94
Last column: magnetic moment on the atom in μB.
Element x y z (fractional)
Pu 0.000 0.500 0.500  4.53
Pu 0.000 0.000 0.000  4.53
Br 0.331 0.388 0.639  -0.11
Br 0.992 0.242 0.250  -0.06
Br 0.008 0.758 0.750  -0.06
Br 0.749 0.192 0.861  -0.11
Br 0.305 0.233 0.018  -0.09
Br 0.215 0.787 0.482  -0.09
Br 0.251 0.808 0.139  -0.11
Br 0.695 0.767 0.982  -0.09
Br 0.785 0.213 0.518  -0.09
Br 0.669 0.612 0.361  -0.11
Na 0.680 0.930 0.250  0.00
Na 0.320 0.070 0.750  0.00

SG: C2/c
Crystal system: monoclinic
ΔE to the lowest computed polymorph in eV per atom: 0.000
Raw formation energy in eV/atom: -1.324



Table of total magnetization (μB/f.u.), in record order: 6.0; 5.0; 11.0; 11.0; 17.0; 5.0; 11.0; 5.9; 3.1; 0.0; 4.0; 6.0; 3.0; 4.0; 6.0; 4.0